Entry 1:
Entry from the Alexandria database: a geometry-optimized AcAs2PdO8 structure (GGA-PBE).

Values from the calculation:
- raw total energy (eV per atom) = -6.172

Cell lengths 6.2363, 6.2363, 6.2363 Å; angles 105.97, 105.97, 116.72 degrees
Fractional coordinates of all 12 atoms:
Ac  0.0000  0.0000  0.0000
As  0.7500  0.2500  0.5000
As  0.5000  0.5000  0.0000
Pd  0.2500  0.7500  0.5000
O  0.4032  0.0727  0.3304
O  0.3324  0.5114  0.1790
O  0.3324  0.1534  0.8210
O  0.7423  0.0727  0.6696
O  0.8466  0.6676  0.1790
O  0.9273  0.2577  0.3304
O  0.9273  0.5968  0.6696
O  0.4886  0.6676  0.8210



Entry 2:
Entry from the Alexandria database: a geometry-optimized YPuS3 structure (GGA-PBE).

Values from the calculation:
- excess energy over the best structure of this formula in the dataset (eV/atom) = 0.051

Cell lengths 3.9006, 7.7884, 7.7717 Å; angles 93.38, 90.00, 90.00 degrees
Fractional coordinates of all 10 atoms:
Y  0.2500  0.8576  0.3230
Y  0.7500  0.1424  0.6770
Pu  0.2500  0.3871  0.2282
Pu  0.7500  0.6129  0.7718
S  0.7500  0.6211  0.3836
S  0.2500  0.3789  0.6164
S  0.7500  0.3195  0.9810
S  0.2500  0.8942  0.6801
S  0.2500  0.6805  0.0190
S  0.7500  0.1058  0.3199



Entry 3:
Entry from the Alexandria database: a geometry-optimized CsLiCaF4 structure (GGA-PBE).

Values from the calculation:
- raw total energy (eV per atom) = -5.012

Cell lengths 5.6138, 5.8241, 8.8562 Å; angles 90.00, 121.77, 90.00 degrees
Fractional coordinates of all 14 atoms:
Cs  0.6435  0.7500  0.9159
Cs  0.3565  0.2500  0.0841
Li  0.1687  0.7500  0.3267
Li  0.8313  0.2500  0.6733
Ca  0.7760  0.7500  0.4620
Ca  0.2240  0.2500  0.5380
F  0.0647  0.4893  0.6791
F  0.9353  0.9893  0.3209
F  0.9353  0.5107  0.3209
F  0.0647  0.0107  0.6791
F  0.3425  0.7500  0.1968
F  0.6575  0.2500  0.8032
F  0.4744  0.7500  0.5562
F  0.5256  0.2500  0.4438



Entry 4:
Entry from the Alexandria database: a geometry-optimized Al2SbPb structure (GGA-PBE).

Values from the calculation:
- excess energy over the best structure of this formula in the dataset (eV/atom) = 0.135

Cell lengths 6.1613, 6.1613, 6.1613 Å; angles 139.65, 139.65, 58.39 degrees
Fractional coordinates of all 4 atoms:
Pb  0.5000  0.5000  0.0000
Sb  0.7500  0.2500  0.5000
Al  0.0000  0.0000  0.0000
Al  0.2500  0.7500  0.5000



no.,M_tot (μB/f.u.),calculated density (g/cm3)
1,3.02,5.5
2,5.00,6.0
3,0.10,3.5
4,0.00,6.5